Material: PaGaMoO6
Method: DFT, PBE+U
State: optimized geometry

* DOS(E_F): 0.000 states/eV/cell
* calculated density: 7.1 g cm⁻³
* raw total energy: -142.3 eV for the cell shown

```
PaGaMoO6
1.0
4.843 0.000 0.000
0.000 4.843 0.000
0.000 0.000 9.767
Pa Ga Mo O
2 2 2 12
Direct
0.000 0.000 0.000
0.500 0.500 0.500
0.000 0.000 0.665
0.500 0.500 0.165
0.000 0.000 0.331
0.500 0.500 0.831
0.184 0.184 0.502
0.202 0.202 0.823
0.205 0.205 0.172
0.295 0.705 0.672
0.298 0.702 0.323
0.316 0.684 0.002
0.684 0.316 0.002
0.702 0.298 0.323
0.705 0.295 0.672
0.795 0.795 0.172
0.798 0.798 0.823
0.816 0.816 0.502
```